Crystalline CrReNF2 at its relaxed geometry, computed with PBE+U.

Results
Symmetry ... P4/mmm, No. 123
Total energy ... -6.860 eV per atom
Volume ... 13.86 A^3/atom
Polymorph energy (0 for the lowest one) ... 0.00 eV per formula unit

Cell: 4.269 4.269 3.802 Å, 90.00 90.00 90.00°
Site moments in Bohr magnetons follow the coordinates.
Positions (direct):
Re  0.000  0.000  0.000  -0.26
N  0.000  0.000  0.500  0.03
F  0.000  0.500  0.000  -0.03
F  0.500  0.000  0.000  -0.03
Cr  0.500  0.500  0.500  -4.58